(1)
The following is a PBE calculation of crystalline Tb4SmEu at its relaxed geometry, from Alexandria.

Cell: 9.494 9.494 9.494 Å, 90.00 90.00 90.00°
Space group F-43m (No. 216)
Unique sites:
Tb 0.123 0.123 0.123 (multiplicity 16)
Sm 0.250 0.250 0.750 (multiplicity 4)
Eu 0.000 0.000 0.500 (multiplicity 4)



(2)
The following is a PBE calculation of crystalline TbSmEu2 at its relaxed geometry, from Alexandria.

Cell: 5.971 5.971 4.054 Å, 90.00 90.00 90.00°
Space group P4/mmm (No. 123)
Unique sites:
Tb 0.000 0.000 0.000 (multiplicity 1)
Sm 0.500 0.500 0.000 (multiplicity 1)
Eu 0.000 0.500 0.500 (multiplicity 2)



no.,energy of formation (eV/atom),final energy (eV per atom)
1,0.2449,-5.341
2,0.1574,-7.317